## Zn2HgMo (PBE-GGA)

Data for a relaxed structure of Zn2HgMo.

a = 2.8067 Å, b = 2.8067 Å, c = 8.7873 Å
α = 90.00°, β = 90.00°, γ = 99.81°
Element x y z (fractional)
Zn: 0.0000 0.0000 0.2268
Zn: 0.0000 0.0000 0.7732
Hg: 0.5000 0.5000 0.5000
Mo: 0.5000 0.5000 0.0000

* magnetic moment: 0.000 μB per atom
* calculated formation energy: 0.21 eV per atom
* space-group type: Cmmm, No. 65
* mass density: 10.4 Mg/m³

## Zn2HgMo (PBE-GGA)

Data for a relaxed structure of Zn2HgMo.

a = 5.5261 Å, b = 5.5261 Å, c = 5.5261 Å
α = 148.99°, β = 129.97°, γ = 60.04°
Element x y z (fractional)
Zn: 0.0000 0.0000 0.0000
Zn: 0.7646 0.2646 0.5000
Hg: 0.5128 0.5128 0.0000
Mo: 0.2435 0.7435 0.5000

* magnetic moment: 0.000 μB per atom
* calculated formation energy: 0.36 eV per atom
* space-group type: Imm2, No. 44
* mass density: 10.7 Mg/m³

## Zn2HgMo (PBE-GGA)

Data for a relaxed structure of Zn2HgMo.

a = 4.9726 Å, b = 4.9726 Å, c = 2.8457 Å
α = 90.00°, β = 90.00°, γ = 108.87°
Element x y z (fractional)
Zn: 0.0000 0.5000 0.0000
Zn: 0.5000 0.0000 0.0000
Hg: 0.0000 0.0000 0.5000
Mo: 0.5000 0.5000 0.5000

* magnetic moment: 0.000 μB per atom
* calculated formation energy: 0.25 eV per atom
* space-group type: Cmmm, No. 65
* mass density: 10.7 Mg/m³

## ZnHg3Mo (PBE-GGA)

Data for a relaxed structure of ZnHg3Mo.

a = 5.0963 Å, b = 5.0963 Å, c = 5.0963 Å
α = 90.00°, β = 90.00°, γ = 90.00°
Element x y z (fractional)
Zn: 0.0000 0.0000 0.0000
Hg: 0.0000 0.0000 0.5000
Hg: 0.0000 0.5000 0.0000
Hg: 0.5000 0.0000 0.0000
Mo: 0.5000 0.5000 0.5000

* E above lowest polymorph: 0.127 eV per atom
* magnetic moment: 0.940 μB per atom
* calculated formation energy: 1.01 eV per atom
* space-group type: Pm-3m, No. 221
* mass density: 9.6 Mg/m³

| no. | E_tot (eV/atom) |
| --- | --- |
| 1 | -3.2146 |
| 2 | -3.0636 |
| 3 | -3.1747 |
| 4 | -1.5910 |